A plane-wave DFT calculation with PBE-GGA was carried out for crystalline LiLaTbMg at its relaxed geometry.

Lattice parameters (Å, degrees): 7.7245 7.7245 7.7245 90.00 90.00 90.00
Closest atoms and distances in Å follow each position.
Space group F-43m (No. 216)
Asymmetric unit:
1 Li 0.0000 0.0000 0.0000 [4 per cell]  4 Tb 3.34, 4 La 3.34
2 La 0.2500 0.2500 0.2500 [4 per cell]  4 Mg 3.34, 4 Li 3.34
3 Tb 0.2500 0.2500 0.7500 [4 per cell]  4 Li 3.34, 4 Mg 3.34
4 Mg 0.0000 0.0000 0.5000 [4 per cell]  4 Tb 3.34, 4 La 3.34

## Properties
Energy of formation = 28 meV/atom
Calculated density = 4.7 g cm⁻³
Raw total energy = -3.239 eV per atom

***

A plane-wave DFT calculation with PBE-GGA was carried out for crystalline Li2La2TbMg5 at its relaxed geometry.

Lattice parameters (Å, degrees): 10.9016 10.9016 4.4583 90.00 90.00 90.00
Closest atoms and distances in Å follow each position.
Space group P4/mbm (No. 127)
Asymmetric unit:
1 Li 0.1134 0.3866 0.0000 [4 per cell]  6 Mg 2.83-2.97, 1 La 3.16
2 La 0.1819 0.6819 0.0000 [4 per cell]  3 Li 3.16-3.30
3 Tb 0.0000 0.0000 0.0000 [2 per cell]  8 Mg 3.29
4 Mg 0.0000 0.5000 0.5000 [2 per cell]  4 Li 2.83
5 Mg 0.0587 0.2144 0.5000 [8 per cell]  2 Li 2.97, 1 Mg 3.18, 2 Tb 3.29

## Properties
Energy of formation = -53 meV/atom
Calculated density = 3.6 g cm⁻³
Raw total energy = -2.681 eV per atom

***

A plane-wave DFT calculation with PBE-GGA was carried out for crystalline LiLa2MgTc at its relaxed geometry.

Lattice parameters (Å, degrees): 5.3737 5.3737 5.4163 90.00 90.00 90.00
Closest atoms and distances in Å follow each position.
Space group P4/mmm (No. 123)
Asymmetric unit:
1 Li 0.0000 0.0000 0.0000 [1 per cell]  4 Mg 3.80, 8 La 3.81
2 La 0.0000 0.5000 0.5000 [2 per cell]  2 Tc 2.69
3 Mg 0.5000 0.5000 0.0000 [1 per cell]  2 Tc 2.71
4 Tc 0.5000 0.5000 0.5000 [1 per cell]  4 La 2.69, 2 Mg 2.71

## Properties
Energy of formation = 87 meV/atom
Calculated density = 4.3 g cm⁻³
Raw total energy = -4.658 eV per atom